1.
## SbSe2F (PBE)

Data for a geometry-optimized SbSe2F structure.

* energy relative to the elements, uncorrected: -26.6 kJ per mole of atoms

abc: 6.9274 6.9274 7.8578
angles: 90.00 90.00 90.00
With the nearest neighbours (Å) after each atom.
Space group I-42d (No. 122)
Inequivalent atoms, fractional coordinates:
Sb1 0.0000 0.0000 0.0000 [4 per cell]  4 Se 2.61
Se1 0.2430 0.7500 0.1250 [8 per cell]  2 Sb 2.61, 2 F 2.67
F1 0.0000 0.0000 0.5000 [4 per cell]  4 Se 2.67

2.
## SbSe2F (PBE)

Data for a geometry-optimized SbSe2F structure.

* energy relative to the elements, uncorrected: -40.0 kJ per mole of atoms

abc: 3.9044 3.9044 18.9910
angles: 90.00 90.00 120.00
With the nearest neighbours (Å) after each atom.
Space group R-3m (No. 166, hexagonal axes)
Inequivalent atoms, fractional coordinates:
Sb1 0.0000 0.0000 0.0000 [3 per cell]  6 Se 2.77
Se1 0.0000 0.0000 0.2486 [6 per cell]  3 F 2.74, 3 Sb 2.77
F1 0.0000 0.0000 0.5000 [3 per cell]  6 Se 2.74

3.
## SbSe2F (PBE)

Data for a geometry-optimized SbSe2F structure.

* energy relative to the elements, uncorrected: -69.7 kJ per mole of atoms

abc: 7.7634 5.1988 12.8945
angles: 90.00 126.95 90.00
With the nearest neighbours (Å) after each atom.
Space group P2_1/c (No. 14)
Inequivalent atoms, fractional coordinates:
Sb1 0.1635 0.0008 0.4135 [4 per cell]  2 F 2.23-2.24
Se1 0.1300 0.1510 0.0802 [4 per cell]  1 Se 2.41
Se2 0.4691 0.1509 0.9197 [4 per cell]  1 Se 2.41
F1 0.0877 0.7499 0.2497 [4 per cell]  2 Sb 2.23-2.24

4.
## SrSbSeF2 (PBE)

Data for a geometry-optimized SrSbSeF2 structure.

* energy relative to the elements, uncorrected: -77.8 kJ per mole of atoms

abc: 4.5352 4.5352 6.2534
angles: 90.00 90.00 90.00
With the nearest neighbours (Å) after each atom.
Space group P4/mmm (No. 123)
Inequivalent atoms, fractional coordinates:
Sr1 0.0000 0.0000 0.0000 [1 per cell]  2 Se 3.13, 4 Sb 3.21
Sb1 0.5000 0.5000 0.0000 [1 per cell]  4 Sr 3.21
Se1 0.0000 0.0000 0.5000 [1 per cell]  4 F 2.27
F1 0.0000 0.5000 0.5000 [2 per cell]  2 Se 2.27

VASP energy list, top to bottom, in eV per cell: -56.3; -43.9; -63.4; -17.1